This record from Alexandria describes crystalline CdMoRu2 at its relaxed geometry. The functional is GGA-PBEsol.

a b c (Å): 2.8735 4.4565 4.7325
angles (deg): 90.00 90.00 90.00
Last column: nearest neighbours and their distance in Å.
Space group Pmmm (No. 47)
Asymmetric unit:
Cd: 0.0000 0.0000 0.0000 (multiplicity 1)  4 Ru 2.65, 4 Mo 2.77, 2 Cd 2.87
Mo: 0.5000 0.0000 0.5000 (multiplicity 1)  4 Ru 2.65, 4 Cd 2.77, 2 Mo 2.87
Ru: 0.0000 0.5000 0.5000 (multiplicity 1)  4 Mo 2.65, 6 Ru 2.77-2.87
Ru: 0.5000 0.5000 0.0000 (multiplicity 1)  4 Cd 2.65, 6 Ru 2.77-2.87

Calculated values
Total moment in μB/cell: 0.0
Calculated formation energy in eV/atom: 0.62


This record from Alexandria describes crystalline Ba2Na2SrAl4F20 at its relaxed geometry. The functional is GGA-PBEsol.

a b c (Å): 5.2513 20.1733 8.7772
angles (deg): 90.00 126.56 90.00
Last column: nearest neighbours and their distance in Å.
Space group P2_1/c (No. 14)
Asymmetric unit:
Ba: 0.0288 0.2221 0.0078 (multiplicity 4)  10 F 2.68-2.87
Na: 0.2253 0.0906 0.7346 (multiplicity 4)  4 F 2.15-2.31
Sr: 0.0000 0.0000 0.0000 (multiplicity 2)  6 F 2.49-2.54
Al: 0.3001 0.6011 0.2842 (multiplicity 4)  6 F 1.78-1.86
Al: 0.4797 0.6377 0.9603 (multiplicity 4)  6 F 1.80-1.87
F: 0.0998 0.6779 0.8403 (multiplicity 4)  1 Al 1.80
F: 0.1216 0.0985 0.4248 (multiplicity 4)  2 Al 1.85-1.87
F: 0.1847 0.6038 0.4404 (multiplicity 4)  1 Al 1.80
F: 0.2838 0.1027 0.0153 (multiplicity 4)  1 Al 1.81
F: 0.3049 0.5672 0.8047 (multiplicity 4)  1 Al 1.80
F: 0.3104 0.6896 0.2770 (multiplicity 4)  1 Al 1.79
F: 0.3184 0.5131 0.3002 (multiplicity 4)  1 Al 1.78
F: 0.3346 0.2072 0.3818 (multiplicity 4)  1 Al 1.80
F: 0.4200 0.5961 0.1231 (multiplicity 4)  2 Al 1.84-1.86
F: 0.4614 0.1775 0.7014 (multiplicity 4)  1 Al 1.81

Calculated values
Formation energy from raw total energies in eV/atom: -3.622
Total moment in μB/cell: 0.4


This record from Alexandria describes crystalline BaLi2Zn at its relaxed geometry. The functional is GGA-PBEsol.

a b c (Å): 8.1973 4.7361 6.3280
angles (deg): 90.00 115.64 90.00
Last column: nearest neighbours and their distance in Å.
Space group Cm (No. 8)
Asymmetric unit:
Ba: 0.0000 0.0000 0.0000 (multiplicity 2)  1 Li 3.27, 4 Zn 3.37-3.59
Li: 0.1912 0.0000 0.5729 (multiplicity 2)  3 Li 2.80, 3 Zn 2.89
Li: 0.4896 0.0000 0.4686 (multiplicity 2)  3 Zn 2.75-2.76, 3 Li 2.80
Zn: 0.3031 0.5000 0.4087 (multiplicity 2)  6 Li 2.75-2.89

Calculated values
Total moment in μB/cell: 0.0
Calculated formation energy in eV/atom: -0.04


This record from Alexandria describes crystalline LiCuNi2 at its relaxed geometry. The functional is GGA-PBEsol.

a b c (Å): 3.5625 3.5625 6.7068
angles (deg): 90.00 90.00 90.00
Last column: nearest neighbours and their distance in Å.
Space group I-4m2 (No. 119)
Asymmetric unit:
Li: 0.0000 0.0000 0.0000 (multiplicity 2)  8 Ni 2.45-2.52, 4 Cu 2.45
Cu: 0.0000 0.5000 0.7500 (multiplicity 2)  4 Li 2.45, 8 Ni 2.45-2.52
Ni: 0.0000 0.0000 0.5000 (multiplicity 2)  4 Ni 2.45, 4 Cu 2.45, 4 Li 2.52
Ni: 0.0000 0.5000 0.2500 (multiplicity 2)  4 Li 2.45, 4 Ni 2.45, 4 Cu 2.52

Calculated values
Total moment in μB/cell: 0.8
Calculated formation energy in eV/atom: 0.06


This record from Alexandria describes crystalline MgMoBr2 at its relaxed geometry. The functional is GGA-PBEsol.

a b c (Å): 3.2448 3.2448 29.1416
angles (deg): 90.00 90.00 120.00
Last column: nearest neighbours and their distance in Å.
Space group R-3m (No. 166, hexagonal axes)
Asymmetric unit:
Mg: 0.0000 0.0000 0.0000 (multiplicity 3)  6 Mg 3.24, 6 Br 3.58
Mo: 0.0000 0.0000 0.5000 (multiplicity 3)  6 Br 2.60
Br: 0.0000 0.0000 0.2286 (multiplicity 6)  3 Mo 2.60

Calculated values
Formation energy from raw total energies in eV/atom: 0.018
Total moment in μB/cell: 0.0
Distance to the lowest polymorph of the same formula in meV/atom: 128.6


This record from Alexandria describes crystalline ZnPd3Cl at its relaxed geometry. The functional is GGA-PBEsol.

a b c (Å): 4.4630 4.4630 4.4630
angles (deg): 90.00 90.00 90.00
Last column: nearest neighbours and their distance in Å.
Space group Pm-3m (No. 221)
Asymmetric unit:
Zn: 0.0000 0.0000 0.0000 (multiplicity 1)  12 Pd 3.16
Pd: 0.0000 0.5000 0.5000 (multiplicity 3)  2 Cl 2.23
Cl: 0.5000 0.5000 0.5000 (multiplicity 1)  6 Pd 2.23

Calculated values
Formation energy from raw total energies in eV/atom: 0.464
Total moment in μB/cell: 0.0


This record from Alexandria describes crystalline LaYPd2Cl at its relaxed geometry. The functional is GGA-PBEsol.

a b c (Å): 5.0702 5.0702 4.9821
angles (deg): 90.00 90.00 90.00
Last column: nearest neighbours and their distance in Å.
Space group P4/mmm (No. 123)
Asymmetric unit:
La: 0.0000 0.0000 0.0000 (multiplicity 1)  8 Pd 3.55, 4 Cl 3.59
Y: 0.5000 0.5000 0.5000 (multiplicity 1)  2 Cl 2.49, 4 Pd 2.54
Pd: 0.0000 0.5000 0.5000 (multiplicity 2)  2 Y 2.54
Cl: 0.5000 0.5000 0.0000 (multiplicity 1)  2 Y 2.49

Calculated values
Formation energy from raw total energies in eV/atom: -0.547
Total moment in μB/cell: 0.0


This record from Alexandria describes crystalline EuCoGe3 at its relaxed geometry. The functional is GGA-PBEsol.

a b c (Å): 4.2446 4.2446 9.7641
angles (deg): 90.00 90.00 90.00
Last column: nearest neighbours and their distance in Å.
Space group I4mm (No. 107)
Asymmetric unit:
Eu: 0.0000 0.0000 0.0000 (multiplicity 2)  12 Ge 3.08-3.27, 5 Co 3.31-3.39
Co: 0.0000 0.0000 0.3391 (multiplicity 2)  5 Ge 2.24-2.31
Ge: 0.0000 0.0000 0.5690 (multiplicity 2)  1 Co 2.24
Ge: 0.0000 0.5000 0.2458 (multiplicity 4)  2 Co 2.31

Calculated values
Total moment in μB/cell: 13.5
Calculated formation energy in eV/atom: -0.58


This record from Alexandria describes crystalline SrH3Pb at its relaxed geometry. The functional is GGA-PBEsol.

a b c (Å): 4.3847 4.3847 4.3847
angles (deg): 90.00 90.00 90.00
Last column: nearest neighbours and their distance in Å.
Space group Pm-3m (No. 221)
Asymmetric unit:
Sr: 0.0000 0.0000 0.0000 (multiplicity 1)  6 H 2.19
H: 0.0000 0.0000 0.5000 (multiplicity 3)  2 Sr 2.19
Pb: 0.5000 0.5000 0.5000 (multiplicity 1)  12 H 3.10

Calculated values
Total moment in μB/cell: 0.0
E_tot in eV per atom: -2.989


This record from Alexandria describes crystalline HgSbI2O at its relaxed geometry. The functional is GGA-PBEsol.

a b c (Å): 5.9516 5.9516 4.0301
angles (deg): 90.00 90.00 90.00
Last column: nearest neighbours and their distance in Å.
Space group P4/mmm (No. 123)
Asymmetric unit:
Hg: 0.0000 0.0000 0.0000 (multiplicity 1)  8 I 3.59
Sb: 0.5000 0.5000 0.0000 (multiplicity 1)  2 O 2.02
I: 0.0000 0.5000 0.5000 (multiplicity 2)  2 O 2.98
O: 0.5000 0.5000 0.5000 (multiplicity 1)  2 Sb 2.02

Calculated values
Formation energy from raw total energies in eV/atom: 0.160
Total moment in μB/cell: 0.0


This record from Alexandria describes crystalline ScTlC3 at its relaxed geometry. The functional is GGA-PBEsol.

a b c (Å): 4.2644 4.2644 4.2644
angles (deg): 90.00 90.00 90.00
Last column: nearest neighbours and their distance in Å.
Space group Pm-3m (No. 221)
Asymmetric unit:
Sc: 0.0000 0.0000 0.0000 (multiplicity 1)  12 C 3.02
Tl: 0.5000 0.5000 0.5000 (multiplicity 1)  6 C 2.13
C: 0.0000 0.5000 0.5000 (multiplicity 3)  2 Tl 2.13

Calculated values
Total moment in μB/cell: 0.0
Calculated formation energy in eV/atom: 2.77


This record from Alexandria describes crystalline YRu3 at its relaxed geometry. The functional is GGA-PBEsol.

a b c (Å): 3.9821 3.9821 3.9821
angles (deg): 90.00 90.00 90.00
Last column: nearest neighbours and their distance in Å.
Space group Pm-3m (No. 221)
Asymmetric unit:
Y: 0.0000 0.0000 0.0000 (multiplicity 1)  12 Ru 2.82
Ru: 0.0000 0.5000 0.5000 (multiplicity 3)  8 Ru 2.82, 4 Y 2.82

Calculated values
Total moment in μB/cell: 0.0
Calculated formation energy in eV/atom: 0.26